# CaDy2Ta PBE optimized geometry
data_CaDy2Ta
_cell_length_a 3.2755
_cell_length_b 3.2755
_cell_length_c 36.4162
_cell_angle_alpha 90.00
_cell_angle_beta 90.00
_cell_angle_gamma 120.00
_space_group_name_H-M_alt 'R -3 m'
_space_group_IT_number 166
_space_group_name_Hall '-R 3 2"'
loop_
_atom_site_label
_atom_site_type_symbol
_atom_site_fract_x
_atom_site_fract_y
_atom_site_fract_z
Ca1 Ca 0.0000 0.0000 0.0000
Dy1 Dy 0.0000 0.0000 0.4200
Ta1 Ta 0.0000 0.0000 0.5000
# E_tot: -0.372 Ry per atom
# energy of formation from the pure elements: 706 meV/atom